No. 1
GdTlGe: optimized geometry, PBE.

Cell and atoms, written as extended XYZ:
```
3
Lattice="4.709 0.000 0.000 0.000 4.402 0.000 0.000 -2.201 3.812" Properties=species:S:1:pos:R:3 pbc="T T T"
Tl 1.334 0.000 2.541
Gd 3.310 2.201 1.271
Ge 0.065 0.000 0.000
```

Calculated values
The calculation puts the total moment at 6.95 μB per formula unit. As for the relative energy among the computed polymorphs: 0.000 eV/f.u. Its density is 9.1 Mg/m³. The value obtained for the calculated volume is 79 Å³/cell.


No. 2
GdTmTlGe: optimized geometry, PBE.

Cell and atoms, written as extended XYZ:
```
4
Lattice="-0.335 3.929 -3.421 -4.253 0.506 -2.985 -3.335 3.925 0.852" Properties=species:S:1:pos:R:3 pbc="T T T"
Gd -5.942 6.270 -4.166
Tl 0.000 0.000 0.000
Tm -1.981 2.090 -1.389
Ge -3.961 4.180 -2.777
```

Calculated values
The calculation puts the total moment at 7.23 μB per formula unit. Its density is 10.0 Mg/m³. The value obtained for the calculated volume is 101 Å³/cell.


Asked for DFT formation energy across the records above, the calculation gives -37.1, -41.0 kJ/mol of atoms in order.